The following is a PBE-GGA calculation of a relaxed Sn4PdPt2 crystal, from Alexandria.

For the energy of formation, the calculation gives -0.48 eV/atom. Its space-group type is No. 2. The calculation puts the density at 10.49 g cm⁻³. As for the total magnetic moment: 0.000 μB/f.u.

Unit cell a=3.8971 b=6.8802 c=6.7714 alpha=63.35 beta=91.51 gamma=74.17
Positions (direct):
Pd: 0.0000 0.0000 0.0000
Pt: 0.7366 0.5021 0.7158
Pt: 0.2634 0.4979 0.2842
Sn: 0.0847 0.7974 0.4604
Sn: 0.9153 0.2026 0.5396
Sn: 0.6345 0.7282 0.9620
Sn: 0.3655 0.2718 0.0380